# 1
# meta-GGA SCAN LiZr2Cl, single point on PBEsol structure
# uncorrected formation energy: -0.463 eV per atom
# crystal system: orthorhombic
# distance to the lowest polymorph of the same formula: 0.63 eV per formula unit
data_LiZr2Cl
_chemical_formula_sum 'Li2 Zr4 Cl2'
_space_group_name_H-M_alt 'I m m m'
_space_group_IT_number 71
_space_group_name_Hall '-I 2 2'
_cell_length_a 3.153
_cell_length_b 3.281
_cell_length_c 15.926
_cell_angle_alpha 90.00
_cell_angle_beta 90.00
_cell_angle_gamma 90.00
loop_
_atom_site_label
_atom_site_type_symbol
_atom_site_fract_x
_atom_site_fract_y
_atom_site_fract_z
Li1 Li 0.000 0.000 0.000
Zr1 Zr 0.000 0.500 0.188
Cl1 Cl 0.000 0.000 0.500

---

# 2
# meta-GGA SCAN Y2HgCl, single point on PBEsol structure
# uncorrected formation energy: -0.019 eV per atom
# crystal system: cubic
# distance to the lowest polymorph of the same formula: 3.41 eV per formula unit
data_Y2HgCl
_chemical_formula_sum 'Y8 Hg4 Cl4'
_space_group_name_H-M_alt 'F -4 3 m'
_space_group_IT_number 216
_space_group_name_Hall 'F -4 2 3'
_cell_length_a 7.353
_cell_length_b 7.353
_cell_length_c 7.353
_cell_angle_alpha 90.00
_cell_angle_beta 90.00
_cell_angle_gamma 90.00
loop_
_atom_site_label
_atom_site_type_symbol
_atom_site_fract_x
_atom_site_fract_y
_atom_site_fract_z
Y1 Y 0.000 0.000 0.000
Y2 Y 0.250 0.250 0.250
Hg1 Hg 0.000 0.000 0.500
Cl1 Cl 0.250 0.250 0.750

---

# 3
# meta-GGA SCAN Nb3HRu, single point on PBEsol structure
# electronic total energy: -27.514 eV per atom
# crystal system: cubic
data_Nb3HRu
_chemical_formula_sum 'Nb3 H1 Ru1'
_space_group_name_H-M_alt 'P m -3 m'
_space_group_IT_number 221
_space_group_name_Hall '-P 4 2 3'
_cell_length_a 4.105
_cell_length_b 4.105
_cell_length_c 4.105
_cell_angle_alpha 90.00
_cell_angle_beta 90.00
_cell_angle_gamma 90.00
loop_
_atom_site_label
_atom_site_type_symbol
_atom_site_fract_x
_atom_site_fract_y
_atom_site_fract_z
Nb1 Nb 0.000 0.000 0.500
H1 H 0.000 0.000 0.000
Ru1 Ru 0.500 0.500 0.500

---

# 4
# meta-GGA SCAN TaTeRu2, single point on PBEsol structure
# uncorrected formation energy: 0.100 eV per atom
# crystal system: tetragonal
data_TaTeRu2
_chemical_formula_sum 'Ta1 Te1 Ru2'
_space_group_name_H-M_alt 'P 4/m m m'
_space_group_IT_number 123
_space_group_name_Hall '-P 4 2'
_cell_length_a 4.202
_cell_length_b 4.202
_cell_length_c 3.637
_cell_angle_alpha 90.00
_cell_angle_beta 90.00
_cell_angle_gamma 90.00
loop_
_atom_site_label
_atom_site_type_symbol
_atom_site_fract_x
_atom_site_fract_y
_atom_site_fract_z
Ta1 Ta 0.000 0.000 0.000
Te1 Te 0.500 0.500 0.000
Ru1 Ru 0.000 0.500 0.500

---

# 5
# meta-GGA SCAN MgTaRu2, single point on PBEsol structure
# energy of formation: 0.06 eV per atom
# crystal system: tetragonal
data_MgTaRu2
_chemical_formula_sum 'Mg1 Ta1 Ru2'
_space_group_name_H-M_alt 'P 4 m m'
_space_group_IT_number 99
_cell_length_a 2.766
_cell_length_b 2.766
_cell_length_c 8.227
_cell_angle_alpha 90.00
_cell_angle_beta 90.00
_cell_angle_gamma 90.00
loop_
_space_group_symop_operation_xyz
'x,y,z'
'-y,x,z'
'-x,-y,z'
'y,-x,z'
'-x,y,z'
'y,x,z'
'x,-y,z'
'-y,-x,z'
loop_
_atom_site_label
_atom_site_type_symbol
_atom_site_fract_x
_atom_site_fract_y
_atom_site_fract_z
Mg1 Mg 0.000 0.000 0.000
Ta1 Ta 0.500 0.500 0.703
Ru1 Ru 0.000 0.000 0.443
Ru2 Ru 0.500 0.500 0.245

---

# 6
# meta-GGA SCAN K2PS3, single point on PBEsol structure
# uncorrected formation energy: -1.125 eV per atom
# crystal system: monoclinic
data_K2PS3
_chemical_formula_sum 'K16 P8 S24'
_space_group_name_H-M_alt 'P 1 21/c 1'
_space_group_IT_number 14
_cell_length_a 13.242
_cell_length_b 11.847
_cell_length_c 8.300
_cell_angle_alpha 90.00
_cell_angle_beta 91.58
_cell_angle_gamma 90.00
loop_
_space_group_symop_operation_xyz
'x,y,z'
'-x,-y,-z'
'-x,y+1/2,-z+1/2'
'x,-y+1/2,z+1/2'
loop_
_atom_site_label
_atom_site_type_symbol
_atom_site_fract_x
_atom_site_fract_y
_atom_site_fract_z
K1 K 0.063 0.199 0.355
K2 K 0.204 0.611 0.783
K3 K 0.321 0.566 0.335
K4 K 0.418 0.236 0.225
P1 P 0.070 0.504 0.425
P2 P 0.428 0.530 0.935
S1 S 0.032 0.046 0.700
S2 S 0.110 0.670 0.437
S3 S 0.175 0.096 0.037
S4 S 0.318 0.079 0.497
S5 S 0.403 0.689 0.018
S6 S 0.456 0.530 0.696

---

# 7
# meta-GGA SCAN TeAsCSe2, single point on PBEsol structure
# uncorrected formation energy: 2.073 eV per atom
# crystal system: tetragonal
data_TeAsCSe2
_chemical_formula_sum 'Te1 As1 C1 Se2'
_space_group_name_H-M_alt 'P 4/m m m'
_space_group_IT_number 123
_space_group_name_Hall '-P 4 2'
_cell_length_a 5.242
_cell_length_b 5.242
_cell_length_c 5.357
_cell_angle_alpha 90.00
_cell_angle_beta 90.00
_cell_angle_gamma 90.00
loop_
_atom_site_label
_atom_site_type_symbol
_atom_site_fract_x
_atom_site_fract_y
_atom_site_fract_z
Te1 Te 0.000 0.000 0.000
As1 As 0.000 0.000 0.500
C1 C 0.500 0.500 0.500
Se1 Se 0.000 0.500 0.000

---

# 8
# meta-GGA SCAN ZnCdRe2, single point on PBEsol structure
# energy of formation: 0.45 eV per atom
# crystal system: trigonal
# distance to the lowest polymorph of the same formula: 0.00 eV per formula unit
data_ZnCdRe2
_chemical_formula_sum 'Zn3 Cd3 Re6'
_space_group_name_H-M_alt 'R -3 m'
_space_group_IT_number 166
_space_group_name_Hall '-R 3 2"'
_cell_length_a 2.7637
_cell_length_b 2.7637
_cell_length_c 27.7305
_cell_angle_alpha 90.00
_cell_angle_beta 90.00
_cell_angle_gamma 120.00
loop_
_atom_site_label
_atom_site_type_symbol
_atom_site_fract_x
_atom_site_fract_y
_atom_site_fract_z
Zn1 Zn 0.0000 0.0000 0.0000
Cd1 Cd 0.0000 0.0000 0.5000
Re1 Re 0.0000 0.0000 0.2547

---

# 9
# meta-GGA SCAN Ca2ZnPb, single point on PBEsol structure
# energy of formation: -0.54 eV per atom
# crystal system: tetragonal
data_Ca2ZnPb
_chemical_formula_sum 'Ca2 Zn1 Pb1'
_space_group_name_H-M_alt 'P 4/m m m'
_space_group_IT_number 123
_space_group_name_Hall '-P 4 2'
_cell_length_a 5.227
_cell_length_b 5.227
_cell_length_c 3.841
_cell_angle_alpha 90.00
_cell_angle_beta 90.00
_cell_angle_gamma 90.00
loop_
_atom_site_label
_atom_site_type_symbol
_atom_site_fract_x
_atom_site_fract_y
_atom_site_fract_z
Ca1 Ca 0.000 0.500 0.000
Zn1 Zn 0.000 0.000 0.500
Pb1 Pb 0.500 0.500 0.500

---

# 10
# meta-GGA SCAN ZrAsBr2F, single point on PBEsol structure
# uncorrected formation energy: -0.184 eV per atom
# crystal system: tetragonal
data_ZrAsBr2F
_chemical_formula_sum 'Zr1 As1 Br2 F1'
_space_group_name_H-M_alt 'P 4/m m m'
_space_group_IT_number 123
_space_group_name_Hall '-P 4 2'
_cell_length_a 5.122
_cell_length_b 5.122
_cell_length_c 3.871
_cell_angle_alpha 90.00
_cell_angle_beta 90.00
_cell_angle_gamma 90.00
loop_
_atom_site_label
_atom_site_type_symbol
_atom_site_fract_x
_atom_site_fract_y
_atom_site_fract_z
Zr1 Zr 0.000 0.000 0.000
As1 As 0.500 0.500 0.000
Br1 Br 0.000 0.500 0.500
F1 F 0.500 0.500 0.500

---

# 11
# meta-GGA SCAN CeSnAu2, single point on PBEsol structure
# energy of formation: -0.76 eV per atom
# crystal system: cubic
data_CeSnAu2
_chemical_formula_sum 'Ce4 Sn4 Au8'
_space_group_name_H-M_alt 'F m -3 m'
_space_group_IT_number 225
_space_group_name_Hall '-F 4 2 3'
_cell_length_a 6.995
_cell_length_b 6.995
_cell_length_c 6.995
_cell_angle_alpha 90.00
_cell_angle_beta 90.00
_cell_angle_gamma 90.00
loop_
_atom_site_label
_atom_site_type_symbol
_atom_site_fract_x
_atom_site_fract_y
_atom_site_fract_z
Ce1 Ce 0.000 0.000 0.000
Sn1 Sn 0.000 0.000 0.500
Au1 Au 0.250 0.250 0.250

---

# 12
# meta-GGA SCAN Co3OF5, single point on PBEsol structure
# uncorrected formation energy: -1.995 eV per atom
# crystal system: triclinic
# distance to the lowest polymorph of the same formula: 0.00 eV per formula unit
data_Co3OF5
_chemical_formula_sum 'Co6 O2 F10'
_space_group_name_H-M_alt 'P 1'
_space_group_IT_number 1
_cell_length_a 4.629
_cell_length_b 5.514
_cell_length_c 7.590
_cell_angle_alpha 85.34
_cell_angle_beta 88.52
_cell_angle_gamma 87.84
loop_
_space_group_symop_operation_xyz
'x,y,z'
loop_
_atom_site_label
_atom_site_type_symbol
_atom_site_fract_x
_atom_site_fract_y
_atom_site_fract_z
Co1 Co 0.000 0.000 0.000
Co2 Co 0.001 0.328 0.668
Co3 Co 0.439 0.869 0.689
Co4 Co 0.471 0.169 0.354
Co5 Co 0.477 0.527 0.996
Co6 Co 0.979 0.673 0.341
O1 O 0.279 0.145 0.572
O2 O 0.280 0.807 0.910
F1 F 0.179 0.314 0.908
F2 F 0.179 0.974 0.243
F3 F 0.184 0.644 0.573
F4 F 0.285 0.477 0.239
F5 F 0.678 0.211 0.109
F6 F 0.680 0.864 0.452
F7 F 0.694 0.549 0.760
F8 F 0.766 0.053 0.779
F9 F 0.780 0.710 0.107
F10 F 0.786 0.368 0.437